A geometry-optimized NaFeBi2O6 structure, computed with PBE+U.

Lattice parameters (Å, degrees): 6.124 6.124 6.124 54.24 54.24 54.24
Atoms (fractional coordinates):
Na  0.000  0.000  0.000
Fe  0.478  0.478  0.478
Bi  0.274  0.274  0.274
Bi  0.787  0.787  0.787
O  0.090  0.658  0.423
O  0.202  0.589  0.833
O  0.423  0.090  0.658
O  0.589  0.833  0.202
O  0.658  0.423  0.090
O  0.833  0.202  0.589

Summary:
The space group is R3. The total energy comes out at -57.02 eV per cell. The calculation puts the total moment at 4.99 μB/cell. The volume comes out at 141 Å³/cell.